The following is a PBE with a Hubbard U calculation of a geometry-optimized HfVPb2O6 structure, from the Alexandria database.

Lattice parameters (Å, degrees): 5.6921 5.6846 9.9335 90.00 124.78 90.00
Last column: nearest neighbours and their distance in Å.
Sites, in units of the cell vectors:
Hf1 0.0000 0.0000 0.0000  6 O 2.06-2.12
Hf2 0.0000 0.5000 0.5000  6 O 2.06-2.12
V1 0.5000 0.0000 0.5000  6 O 1.93-2.02
V2 0.5000 0.5000 0.0000  6 O 1.93-2.02
Pb1 0.2506 0.0133 0.7467  8 O 2.60-2.90
Pb2 0.2506 0.4867 0.2467  8 O 2.60-2.90
Pb3 0.7494 0.5133 0.7533  8 O 2.60-2.90
Pb4 0.7494 0.9867 0.2533  8 O 2.60-2.90
O1 0.2104 0.2200 0.4815  1 V 1.99, 1 Hf 2.06
O2 0.2104 0.2800 0.9815  1 V 1.99, 1 Hf 2.06
O3 0.2676 0.7392 0.4825  1 V 1.93, 1 Hf 2.12
O4 0.2676 0.7608 0.9825  1 V 1.93, 1 Hf 2.12
O5 0.2939 0.0052 0.2543  1 V 2.02, 1 Hf 2.09
O6 0.2939 0.4948 0.7543  1 V 2.02, 1 Hf 2.09
O7 0.7061 0.5052 0.2457  1 V 2.02, 1 Hf 2.09
O8 0.7061 0.9948 0.7457  1 V 2.02, 1 Hf 2.09
O9 0.7324 0.2392 0.0175  1 V 1.93, 1 Hf 2.12
O10 0.7324 0.2608 0.5175  1 V 1.93, 1 Hf 2.12
O11 0.7896 0.7200 0.0185  1 V 1.99, 1 Hf 2.06
O12 0.7896 0.7800 0.5185  1 V 1.99, 1 Hf 2.06

Results
Total magnetic moment in Bohr magnetons per cell: 2.00
Calculated total energy in eV per atom: -7.5541